1.
The following is a DFT calculation (GGA-PBE) of an optimized crystal structure of Sm8Ho2Cd.

Cell and atoms, written as CIF:
```
data_Sm8Ho2Cd
_cell_length_a 11.322
_cell_length_b 5.063
_cell_length_c 12.668
_cell_angle_alpha 90.00
_cell_angle_beta 104.32
_cell_angle_gamma 90.00
_space_group_name_H-M_alt 'C 1 2/m 1'
_space_group_IT_number 12
loop_
_space_group_symop_operation_xyz
'x,y,z'
'-x,-y,-z'
'-x,y,-z'
'x,-y,z'
'x+1/2,y+1/2,z'
'-x+1/2,-y+1/2,-z'
'-x+1/2,y+1/2,-z'
'x+1/2,-y+1/2,z'
loop_
_atom_site_label
_atom_site_fract_x
_atom_site_fract_y
_atom_site_fract_z
Sm1 0.037 0.000 0.322
Sm2 0.090 0.500 0.140
Sm3 0.140 0.000 0.953
Sm4 0.244 0.000 0.588
Ho1 0.186 0.500 0.763
Cd1 0.000 0.500 0.500
```

2.
The following is a DFT calculation (GGA-PBE) of an optimized crystal structure of Sm8HoCd2.

Cell and atoms, written as CIF:
```
data_Sm8HoCd2
_cell_length_a 8.871
_cell_length_b 15.393
_cell_length_c 5.697
_cell_angle_alpha 90.00
_cell_angle_beta 113.14
_cell_angle_gamma 90.00
_space_group_name_H-M_alt 'C 1 2/m 1'
_space_group_IT_number 12
loop_
_space_group_symop_operation_xyz
'x,y,z'
'-x,-y,-z'
'-x,y,-z'
'x,-y,z'
'x+1/2,y+1/2,z'
'-x+1/2,-y+1/2,-z'
'-x+1/2,y+1/2,-z'
'x+1/2,-y+1/2,z'
loop_
_atom_site_label
_atom_site_fract_x
_atom_site_fract_y
_atom_site_fract_z
Sm1 0.000 0.219 0.000
Sm2 0.099 0.500 0.798
Sm3 0.206 0.112 0.613
Ho1 0.000 0.000 0.000
Cd1 0.000 0.306 0.500
```

3.
The following is a DFT calculation (GGA-PBE) of an optimized crystal structure of Sm7HoCd4.

Cell and atoms, written as CIF:
```
data_Sm7HoCd4
_cell_length_a 14.935
_cell_length_b 5.795
_cell_length_c 9.900
_cell_angle_alpha 90.00
_cell_angle_beta 122.02
_cell_angle_gamma 90.00
_space_group_name_H-M_alt 'C 1 2/m 1'
_space_group_IT_number 12
loop_
_space_group_symop_operation_xyz
'x,y,z'
'-x,-y,-z'
'-x,y,-z'
'x,-y,z'
'x+1/2,y+1/2,z'
'-x+1/2,-y+1/2,-z'
'-x+1/2,y+1/2,-z'
'x+1/2,-y+1/2,z'
loop_
_atom_site_label
_atom_site_fract_x
_atom_site_fract_y
_atom_site_fract_z
Sm1 0.000 0.000 0.000
Sm2 0.070 0.500 0.410
Sm3 0.205 0.500 0.882
Sm4 0.238 0.000 0.694
Ho1 0.000 0.500 0.000
Cd1 0.041 0.000 0.713
Cd2 0.181 0.000 0.343
```

| no. | ΔE_f (eV per atom) | calculated volume (Å³/cell) |
| --- | --- | --- |
| 1 | -0.0130 | 703.6 |
| 2 | 0.0203 | 715.3 |
| 3 | -0.0134 | 726.5 |